# PBE-GGA ZrTl, relaxed
# - E (Ry/atom) = -0.395
# - magnetic moment (μB per cell) = 0.05
data_ZrTl
_cell_length_a 6.2450
_cell_length_b 5.5336
_cell_length_c 5.5078
_cell_angle_alpha 90.00
_cell_angle_beta 90.00
_cell_angle_gamma 90.00
_symmetry_space_group_name_H-M 'P b c m'
_symmetry_Int_Tables_number 57
_symmetry_space_group_name_Hall '-P 2c 2b'
loop_
_atom_site_label
_atom_site_fract_x
_atom_site_fract_y
_atom_site_fract_z
Zr1 0.1187 0.0052 0.2500
Tl1 0.3694 0.5043 0.2500

=====

# PBE-GGA ZrTl, relaxed
# - E (Ry/atom) = -0.398
# - magnetic moment (μB per cell) = 0.15
data_ZrTl
_cell_length_a 6.7627
_cell_length_b 15.6156
_cell_length_c 5.3820
_cell_angle_alpha 90.00
_cell_angle_beta 90.00
_cell_angle_gamma 90.00
_symmetry_space_group_name_H-M 'P b c m'
_symmetry_Int_Tables_number 57
_symmetry_space_group_name_Hall '-P 2c 2b'
loop_
_atom_site_label
_atom_site_fract_x
_atom_site_fract_y
_atom_site_fract_z
Zr1 0.1190 0.1725 0.2500
Zr2 0.1256 0.6674 0.7500
Zr3 0.3734 0.6712 0.2500
Tl1 0.1227 0.5074 0.2500
Tl2 0.3729 0.0046 0.2500
Tl3 0.3728 0.1656 0.7500

=====

# PBE-GGA ZrTl, relaxed
# - E (Ry/atom) = -0.394
# - magnetic moment (μB per cell) = 0.04
data_ZrTl
_cell_length_a 6.2294
_cell_length_b 5.5180
_cell_length_c 8.5311
_cell_angle_alpha 90.00
_cell_angle_beta 100.10
_cell_angle_gamma 90.00
_symmetry_space_group_name_H-M 'P 1 21/m 1'
_symmetry_Int_Tables_number 11
_symmetry_space_group_name_Hall '-P 2yb'
loop_
_atom_site_label
_atom_site_fract_x
_atom_site_fract_y
_atom_site_fract_z
Zr1 0.1451 0.2500 0.0782
Zr2 0.1860 0.7500 0.2549
Zr3 0.3430 0.7500 0.9316
Tl1 0.0213 0.7500 0.5944
Tl2 0.3182 0.2500 0.7562
Tl3 0.4776 0.2500 0.4034

=====

# PBE-GGA TmUW, relaxed
# - distance to the lowest polymorph of the same formula (kJ per mole of atoms) = 0.0
# - magnetic moment (μB per cell) = 4.07
data_TmUW
_cell_length_a 6.6872
_cell_length_b 6.6872
_cell_length_c 6.6872
_cell_angle_alpha 90.00
_cell_angle_beta 90.00
_cell_angle_gamma 90.00
_symmetry_space_group_name_H-M 'F -4 3 m'
_symmetry_Int_Tables_number 216
_symmetry_space_group_name_Hall 'F -4 2 3'
loop_
_atom_site_label
_atom_site_fract_x
_atom_site_fract_y
_atom_site_fract_z
Tm1 0.0000 0.0000 0.0000
U1 0.0000 0.0000 0.5000
W1 0.2500 0.2500 0.7500

=====

# PBE-GGA TmW, relaxed
# - distance to the lowest polymorph of the same formula (kJ per mole of atoms) = 215.5
# - magnetic moment (μB per cell) = 12.69
data_TmW
_cell_length_a 6.4673
_cell_length_b 6.4673
_cell_length_c 6.4673
_cell_angle_alpha 90.00
_cell_angle_beta 90.00
_cell_angle_gamma 90.00
_symmetry_space_group_name_H-M 'F -4 3 m'
_symmetry_Int_Tables_number 216
_symmetry_space_group_name_Hall 'F -4 2 3'
loop_
_atom_site_label
_atom_site_fract_x
_atom_site_fract_y
_atom_site_fract_z
Tm1 0.0000 0.0000 0.0000
W1 0.2500 0.2500 0.7500

=====

# PBE-GGA TmW, relaxed
# - distance to the lowest polymorph of the same formula (kJ per mole of atoms) = 94.6
# - magnetic moment (μB per cell) = 0.07
data_TmW
_cell_length_a 5.7329
_cell_length_b 5.7329
_cell_length_c 5.7329
_cell_angle_alpha 90.00
_cell_angle_beta 90.00
_cell_angle_gamma 90.00
_symmetry_space_group_name_H-M 'F m -3 m'
_symmetry_Int_Tables_number 225
_symmetry_space_group_name_Hall '-F 4 2 3'
loop_
_atom_site_label
_atom_site_fract_x
_atom_site_fract_y
_atom_site_fract_z
Tm1 0.0000 0.0000 0.0000
W1 0.0000 0.0000 0.5000